VASP calculation (PBE) on an optimized crystal structure of HoTlO3.

Geometry as POSCAR:
```
HoTlO3
1.0
3.568 0.000 0.000
0.000 5.865 0.000
-1.784 0.000 7.070
Ho O Tl
2 6 2
Cartesian
0.000 4.399 4.327 Ho
1.784 1.466 2.743 Ho
1.784 5.865 4.601 O
1.784 1.466 0.414 O
1.784 2.933 4.601 O
0.000 4.399 6.656 O
0.000 0.000 2.469 O
0.000 2.933 2.469 O
1.784 1.466 6.239 Tl
0.000 4.399 0.831 Tl
```

- V (Å³ per atom) = 14.79
- ΔE_f (raw) (eV/atom) = -2.088